Entry 1:
Tb2Ru2C3: relaxed, PBE.

Output
- total energy (eV/cell) = -57.16
- D(E_F) (states/eV per cell) = 3.75
- mass density (Mg/m³) = 9.1
- ΔH_f (0 K) (eV per atom) = -0.240

Lattice parameters (Å, degrees): 5.956 5.956 5.633 112.62 112.62 33.48
Element x y z (fractional)
Tb (0.108, 0.108, 0.323)
Tb (0.892, 0.892, 0.677)
Ru (0.341, 0.341, 0.177)
Ru (0.659, 0.659, 0.823)
C (0.250, 0.250, 0.774)
C (0.500, 0.500, 0.500)
C (0.750, 0.750, 0.226)

---

Entry 2:
Tb2RuC2: relaxed, PBE.

Output
- total energy (eV/cell) = -74.65
- D(E_F) (states/eV per cell) = 5.36
- mass density (Mg/m³) = 9.3
- ΔH_f (0 K) (eV per atom) = -0.068

Lattice parameters (Å, degrees): 5.888 5.888 9.450 117.82 117.82 33.73
Element x y z (fractional)
Tb (0.024, 0.024, 0.175)
Tb (0.149, 0.149, 0.586)
Tb (0.851, 0.851, 0.414)
Tb (0.976, 0.976, 0.825)
Ru (0.279, 0.279, 0.120)
Ru (0.721, 0.721, 0.880)
C (0.331, 0.331, 0.917)
C (0.469, 0.469, 0.326)
C (0.531, 0.531, 0.674)
C (0.669, 0.669, 0.083)

---

Entry 3:
Tb2RuC2: relaxed, PBE.

Output
- total energy (eV/cell) = -154.30
- D(E_F) (states/eV per cell) = 11.61
- mass density (Mg/m³) = 9.0
- ΔH_f (0 K) (eV per atom) = -0.318

Lattice parameters (Å, degrees): 6.481 5.151 9.833 90.00 90.00 90.00
Element x y z (fractional)
Tb (0.025, 0.250, 0.216)
Tb (0.180, 0.250, 0.554)
Tb (0.320, 0.750, 0.054)
Tb (0.475, 0.750, 0.716)
Tb (0.525, 0.250, 0.284)
Tb (0.680, 0.250, 0.946)
Tb (0.820, 0.750, 0.446)
Tb (0.975, 0.750, 0.784)
Ru (0.222, 0.250, 0.864)
Ru (0.278, 0.750, 0.364)
Ru (0.722, 0.250, 0.636)
Ru (0.778, 0.750, 0.136)
C (0.041, 0.750, 0.243)
C (0.176, 0.750, 0.552)
C (0.324, 0.250, 0.052)
C (0.459, 0.250, 0.743)
C (0.541, 0.750, 0.257)
C (0.676, 0.750, 0.948)
C (0.824, 0.250, 0.448)
C (0.959, 0.250, 0.757)

---

Entry 4:
Tb2RuC: relaxed, PBE.

Output
- total energy (eV/cell) = -26.22
- D(E_F) (states/eV per cell) = 4.39
- mass density (Mg/m³) = 8.6
- ΔH_f (0 K) (eV per atom) = 0.385

Lattice parameters (Å, degrees): 8.271 8.271 8.271 24.18 24.18 24.18
Element x y z (fractional)
Tb (0.109, 0.109, 0.109)
Tb (0.891, 0.891, 0.891)
Ru (0.000, 0.000, 0.000)
C (0.500, 0.500, 0.500)

---

Which value of total energy does entry 3 give?
-154.30 eV/cell

---

Among the records above, which one has the highest D(E_F)?
number 3

---

What is the formula in the second record?
Tb2RuC2